Entry 1:
{"formula": "SrFeTcH2", "functional": "PBE", "state": "relaxed", "cell": [[3.870, 0.000, 0.000], [0.000, 3.870, 0.000], [0.000, 0.000, 5.764]], "species": ["Sr", "Fe", "Tc", "H", "H"], "frac_coords": [[0.000, 0.000, 0.000], [0.500, 0.500, 0.000], [0.000, 0.000, 0.500], [0.000, 0.500, 0.500], [0.500, 0.000, 0.500]], "energy_ev_per_atom": -4.138, "rho_g_cm3": 4.68, "total_magnetization_mub_per_atom": 1.04, "space_group": "P4/mmm, No. 123"}

***

Entry 2:
{"formula": "SrFeTc2H", "functional": "PBE", "state": "relaxed", "cell": [[3.965, 0.000, 0.000], [0.000, 3.965, 0.000], [0.000, 0.000, 4.730]], "species": ["Sr", "Fe", "Tc", "Tc", "H"], "frac_coords": [[0.000, 0.000, 0.000], [0.500, 0.500, 0.000], [0.000, 0.500, 0.500], [0.500, 0.000, 0.500], [0.500, 0.500, 0.500]], "energy_ev_per_atom": -5.996, "rho_g_cm3": 7.60, "total_magnetization_mub_per_atom": 0.53, "space_group": "P4/mmm, No. 123"}

***

Copy entry 2 word for word.
{"formula": "SrFeTc2H", "functional": "PBE", "state": "relaxed", "cell": [[3.965, 0.000, 0.000], [0.000, 3.965, 0.000], [0.000, 0.000, 4.730]], "species": ["Sr", "Fe", "Tc", "Tc", "H"], "frac_coords": [[0.000, 0.000, 0.000], [0.500, 0.500, 0.000], [0.000, 0.500, 0.500], [0.500, 0.000, 0.500], [0.500, 0.500, 0.500]], "energy_ev_per_atom": -5.996, "rho_g_cm3": 7.60, "total_magnetization_mub_per_atom": 0.53, "space_group": "P4/mmm, No. 123"}

***

Repeat the second record exactly.
{"formula": "SrFeTc2H", "functional": "PBE", "state": "relaxed", "cell": [[3.965, 0.000, 0.000], [0.000, 3.965, 0.000], [0.000, 0.000, 4.730]], "species": ["Sr", "Fe", "Tc", "Tc", "H"], "frac_coords": [[0.000, 0.000, 0.000], [0.500, 0.500, 0.000], [0.000, 0.500, 0.500], [0.500, 0.000, 0.500], [0.500, 0.500, 0.500]], "energy_ev_per_atom": -5.996, "rho_g_cm3": 7.60, "total_magnetization_mub_per_atom": 0.53, "space_group": "P4/mmm, No. 123"}

***

> Number 1 is which compound?

SrFeTcH2